Entry 1:
! KNdDy4Se8 GGA-PBE optimized geometry; values from VASP
&SYSTEM
  ibrav = 0, nat = 14, ntyp = 4
/
ATOMIC_SPECIES
K 39.10 K.upf
Nd 144.24 Nd.upf
Dy 162.50 Dy.upf
Se 78.96 Se.upf
CELL_PARAMETERS angstrom
4.2871 2.4752 7.1426
-4.2871 2.4752 7.1426
0.0000 -4.9503 7.1426
ATOMIC_POSITIONS crystal
K 0.0000 0.0000 0.0000
Nd 0.6335 0.6335 0.6335
Dy 0.1149 0.6332 0.6332
Dy 0.2545 0.2545 0.2545
Dy 0.6332 0.1149 0.6332
Dy 0.6332 0.6332 0.1149
Se 0.3821 0.3821 0.8590
Se 0.3821 0.8590 0.3821
Se 0.3862 0.3862 0.3862
Se 0.4225 0.8690 0.8690
Se 0.8590 0.3821 0.3821
Se 0.8621 0.8621 0.8621
Se 0.8690 0.4225 0.8690
Se 0.8690 0.8690 0.4225
! Total energy: -5.47 eV/atom
! Density of states at the Fermi level: 0.00 states/eV per cell
! Total moment: 0.00 μB per formula unit
! SG: R3m, No. 160
! ΔE_f (raw): -24.450 eV/f.u.

---

Entry 2:
! CaSc2GeRh GGA-PBE optimized geometry; values from VASP
&SYSTEM
  ibrav = 0, nat = 5, ntyp = 4
/
ATOMIC_SPECIES
Ca 40.08 Ca.upf
Sc 44.96 Sc.upf
Ge 72.64 Ge.upf
Rh 102.91 Rh.upf
CELL_PARAMETERS angstrom
5.0195 0.0000 0.0000
0.0000 5.0195 0.0000
0.0000 0.0000 4.8743
ATOMIC_POSITIONS crystal
Ca 0.0000 0.0000 0.0000
Sc 0.0000 0.5000 0.5000
Sc 0.5000 0.0000 0.5000
Ge 0.5000 0.5000 0.0000
Rh 0.5000 0.5000 0.5000
! Total energy: -5.64 eV/atom
! Density of states at the Fermi level: 5.12 states/eV per cell
! Total moment: 0.00 μB per formula unit
! SG: P4/mmm, No. 123

---

Entry 3:
! DySn2Sb GGA-PBE optimized geometry; values from VASP
&SYSTEM
  ibrav = 0, nat = 4, ntyp = 3
/
ATOMIC_SPECIES
Dy 162.50 Dy.upf
Sn 118.71 Sn.upf
Sb 121.76 Sb.upf
CELL_PARAMETERS angstrom
1.7043 0.9840 11.7446
-1.7043 0.9840 11.7446
0.0000 -1.9679 11.7446
ATOMIC_POSITIONS crystal
Dy 0.0000 0.0000 0.0000
Sn 0.0887 0.0887 0.0887
Sn 0.9113 0.9113 0.9113
Sb 0.5000 0.5000 0.5000
! Total energy: -4.00 eV/atom
! Density of states at the Fermi level: 3.12 states/eV per cell
! Total moment: 0.00 μB per formula unit
! SG: R-3m, No. 166
! Distance to the lowest polymorph of the same formula: 0.597 eV/atom
! ΔE_f (raw): 0.743 eV/f.u.

---

Look up the total energy of the third one.
-4.00 eV/atom

---

total energy of number 1 (KNdDy4Se8)?
-5.47 eV/atom